No. 1
A geometry-optimized MgAg2Au9 structure. Source: the Alexandria database, functional PBE-GGA.

Summary:
formation enthalpy at 0 K = -1.92 eV/f.u.
magnetization = 0.00 μB/f.u.
calculated total energy = -3.226 eV/atom

a b c (Å): 4.1423 4.1423 12.5370
angles (deg): 90.00 90.00 90.00
Sites, in units of the cell vectors:
1 Mg 0.0000 0.0000 0.0000
2 Ag 0.0000 0.0000 0.3338
3 Ag 0.0000 0.0000 0.6662
4 Au 0.0000 0.5000 0.1644
5 Au 0.0000 0.5000 0.5000
6 Au 0.0000 0.5000 0.8356
7 Au 0.5000 0.0000 0.1644
8 Au 0.5000 0.0000 0.5000
9 Au 0.5000 0.0000 0.8356
10 Au 0.5000 0.5000 0.0000
11 Au 0.5000 0.5000 0.3326
12 Au 0.5000 0.5000 0.6674

No. 2
A geometry-optimized Mg4Ag3Au structure. Source: the Alexandria database, functional PBE-GGA.

Summary:
formation enthalpy at 0 K = -2.74 eV/f.u.
magnetization = 0.00 μB/f.u.
calculated total energy = -2.619 eV/atom

a b c (Å): 8.1787 8.1787 8.1787
angles (deg): 33.29 33.29 33.29
Sites, in units of the cell vectors:
1 Mg 0.1231 0.1231 0.1231
2 Mg 0.3732 0.3732 0.3732
3 Mg 0.6268 0.6268 0.6268
4 Mg 0.8769 0.8769 0.8769
5 Ag 0.2476 0.2476 0.2476
6 Ag 0.5000 0.5000 0.5000
7 Ag 0.7524 0.7524 0.7524
8 Au 0.0000 0.0000 0.0000

No. 3
A geometry-optimized Mg5Ag2Au2 structure. Source: the Alexandria database, functional PBE-GGA.

Summary:
formation enthalpy at 0 K = -2.84 eV/f.u.
magnetization = 0.00 μB/f.u.
calculated total energy = -2.564 eV/atom

a b c (Å): 7.9773 7.9773 6.9313
angles (deg): 90.00 90.00 55.42
Sites, in units of the cell vectors:
1 Mg 0.0000 0.0000 0.0000
2 Mg 0.0275 0.6832 0.6608
3 Mg 0.1832 0.5275 0.1608
4 Mg 0.3168 0.9725 0.6608
5 Mg 0.4725 0.8168 0.1608
6 Mg 0.5000 0.5000 0.5000
7 Mg 0.5275 0.1832 0.8392
8 Mg 0.6832 0.0275 0.3392
9 Mg 0.8168 0.4725 0.8392
10 Mg 0.9725 0.3168 0.3392
11 Ag 0.1386 0.8614 0.3686
12 Ag 0.3614 0.6386 0.8686
13 Ag 0.6386 0.3614 0.1314
14 Ag 0.8614 0.1386 0.6314
15 Au 0.1995 0.1995 0.0000
16 Au 0.3005 0.3005 0.5000
17 Au 0.6995 0.6995 0.5000
18 Au 0.8005 0.8005 0.0000

No. 4
A geometry-optimized MgAg6Au5 structure. Source: the Alexandria database, functional PBE-GGA.

Summary:
formation enthalpy at 0 K = -1.45 eV/f.u.
magnetization = 0.00 μB/f.u.
calculated total energy = -3.045 eV/atom

a b c (Å): 7.7749 7.7749 7.7749
angles (deg): 149.34 114.34 74.20
Sites, in units of the cell vectors:
1 Mg 0.0000 0.0000 0.0000
2 Ag 0.0844 0.8331 0.2513
3 Ag 0.2528 0.5000 0.7528
4 Ag 0.4182 0.1669 0.2513
5 Ag 0.5818 0.8331 0.7487
6 Ag 0.7472 0.5000 0.2472
7 Ag 0.9156 0.1669 0.7487
8 Au 0.1600 0.6600 0.5000
9 Au 0.3307 0.3307 0.0000
10 Au 0.5000 0.0000 0.5000
11 Au 0.6693 0.6693 0.0000
12 Au 0.8400 0.3400 0.5000